1.
# Pr3Se3N

An optimized crystal structure of Pr3Se3N (PBE, Alexandria).

a = 7.5229 Å, b = 7.5229 Å, c = 7.4048 Å
α = 96.25°, β = 96.25°, γ = 112.99°
Positions (direct):
Pr: 0.1005 0.1005 0.3166
Pr: 0.1604 0.4560 0.7772
Pr: 0.4560 0.1604 0.7772
Pr: 0.5440 0.8396 0.2228
Pr: 0.8396 0.5440 0.2228
Pr: 0.8995 0.8995 0.6834
Se: 0.1652 0.8348 0.0000
Se: 0.2494 0.7506 0.5000
Se: 0.3877 0.3877 0.1453
Se: 0.6123 0.6123 0.8547
Se: 0.7506 0.2494 0.5000
Se: 0.8348 0.1652 0.0000
N: 0.1776 0.1776 0.6412
N: 0.8224 0.8224 0.3588

Results
- formation energy from raw total energies (meV/atom) = -1724
- crystal system = monoclinic
- SG = C2/m (12)
- polymorph energy (0 for the lowest one) (meV/atom) = 65


2.
# CdMoPb2

An optimized crystal structure of CdMoPb2 (PBE, Alexandria).

a = 5.2881 Å, b = 5.2881 Å, c = 3.3802 Å
α = 90.00°, β = 90.00°, γ = 90.27°
Positions (direct):
Cd: 0.0000 0.0000 0.0000
Mo: 0.5000 0.5000 0.0000
Pb: 0.0000 0.5000 0.5000
Pb: 0.5000 0.0000 0.5000

Results
- energy relative to the elements (meV per atom) = 645
- crystal system = orthorhombic
- SG = Cmmm (65)


3.
# CoOsPb4

An optimized crystal structure of CoOsPb4 (PBE, Alexandria).

a = 6.1346 Å, b = 6.1346 Å, c = 6.1346 Å
α = 60.00°, β = 60.00°, γ = 60.00°
Positions (direct):
Co: 0.0000 0.0000 0.0000
Os: 0.7500 0.7500 0.7500
Pb: 0.3754 0.3754 0.3754
Pb: 0.3754 0.3754 0.8738
Pb: 0.3754 0.8738 0.3754
Pb: 0.8738 0.3754 0.3754

Results
- energy relative to the elements (meV per atom) = 1521
- crystal system = cubic
- SG = F-43m (216)


4.
# B2RhC

An optimized crystal structure of B2RhC (PBE, Alexandria).

a = 4.9707 Å, b = 4.9707 Å, c = 4.9707 Å
α = 127.05°, β = 127.05°, γ = 78.17°
Positions (direct):
B: 0.0337 0.6250 0.9087
B: 0.3750 0.2837 0.4087
B: 0.7163 0.1250 0.0913
B: 0.8750 0.9663 0.5913
Rh: 0.2500 0.7500 0.5000
Rh: 0.5000 0.5000 0.0000
C: 0.0000 0.0000 0.0000
C: 0.7500 0.2500 0.5000

Results
- energy relative to the elements (meV per atom) = 387
- crystal system = tetragonal
- SG = I-42d (122)


5.
# TaTi2Ni2

An optimized crystal structure of TaTi2Ni2 (PBE, Alexandria).

a = 6.7371 Å, b = 6.7371 Å, c = 2.9276 Å
α = 90.00°, β = 90.00°, γ = 145.71°
Positions (direct):
Ta: 0.0000 0.0000 0.0000
Ti: 0.3656 0.6344 0.5000
Ti: 0.6344 0.3656 0.5000
Ni: 0.1940 0.8060 0.0000
Ni: 0.8060 0.1940 0.0000

Results
- energy relative to the elements (meV per atom) = -162
- crystal system = orthorhombic
- SG = Cmmm (65)
- polymorph energy (0 for the lowest one) (meV/atom) = 79


6.
# CaCuBr4

An optimized crystal structure of CaCuBr4 (PBE, Alexandria).

a = 6.8940 Å, b = 4.0466 Å, c = 6.9733 Å
α = 90.00°, β = 95.21°, γ = 90.00°
Positions (direct):
Ca: 0.0000 0.0000 0.0000
Cu: 0.5000 0.5000 0.0000
Br: 0.1825 0.5000 0.7793
Br: 0.3740 0.0000 0.2152
Br: 0.6260 0.0000 0.7848
Br: 0.8175 0.5000 0.2207

Results
- formation energy from raw total energies (meV/atom) = -1081
- crystal system = monoclinic
- SG = P2/m (10)
- polymorph energy (0 for the lowest one) (meV/atom) = 0


Copy entry 5 word for word.
# TaTi2Ni2

An optimized crystal structure of TaTi2Ni2 (PBE, Alexandria).

a = 6.7371 Å, b = 6.7371 Å, c = 2.9276 Å
α = 90.00°, β = 90.00°, γ = 145.71°
Positions (direct):
Ta: 0.0000 0.0000 0.0000
Ti: 0.3656 0.6344 0.5000
Ti: 0.6344 0.3656 0.5000
Ni: 0.1940 0.8060 0.0000
Ni: 0.8060 0.1940 0.0000

Results
- energy relative to the elements (meV per atom) = -162
- crystal system = orthorhombic
- SG = Cmmm (65)
- polymorph energy (0 for the lowest one) (meV/atom) = 79